Density functional theory data (PBE-GGA) for a relaxed K2UTeO2 crystal.

a b c (Å): 4.4705 4.4705 6.7802
angles (deg): 90.00 90.00 90.00
Closest atoms and distances in Å follow each position.
Fractional coordinates of all 6 atoms:
K 0.5000 0.5000 0.7308  4 O 2.89, 1 K 3.13
K 0.5000 0.5000 0.2692  4 O 2.89, 1 K 3.13
U 0.0000 0.0000 0.0000  4 O 2.24
Te 0.0000 0.0000 0.5000  2 U 3.39, 8 K 3.53
O 0.5000 0.0000 0.0000  2 U 2.24
O 0.0000 0.5000 0.0000  2 U 2.24

**Electronic total energy**: -38.02 eV for the cell shown
**Formation energy (no corrections)**: -11.481 eV/f.u.

Density functional theory data (PBE-GGA) for a relaxed Mg8HgPd2 crystal.

a b c (Å): 5.0321 7.1801 7.1801
angles (deg): 111.76 97.85 97.85
Closest atoms and distances in Å follow each position.
Fractional coordinates of all 11 atoms:
Mg 0.9144 0.9366 0.6770  2 Pd 2.68-2.70
Mg 0.9144 0.6770 0.9366  2 Pd 2.68-2.70
Mg 0.3127 0.6225 0.6225  2 Pd 2.71, 1 Hg 2.96
Mg 0.5000 0.7532 0.2468  2 Pd 2.66, 1 Hg 2.93
Mg 0.5000 0.2468 0.7532  2 Pd 2.66, 1 Hg 2.93
Mg 0.6873 0.3775 0.3775  2 Pd 2.71, 1 Hg 2.96
Mg 0.0856 0.3230 0.0634  2 Pd 2.68-2.70
Mg 0.0856 0.0634 0.3230  2 Pd 2.68-2.70
Hg 0.5000 0.0000 0.0000  8 Mg 2.93-3.28
Pd 0.0000 0.3183 0.6817  8 Mg 2.66-2.71
Pd 0.0000 0.6817 0.3183  8 Mg 2.66-2.71

**Distance to the lowest polymorph of the same formula**: 0.98 kcal/mol of atoms
**Electronic total energy**: -26.91 eV for the cell shown
**Energy of formation**: -315 meV/atom

Density functional theory data (PBE-GGA) for a relaxed Sm4Ag3Pt crystal.

a b c (Å): 3.6710 3.6710 14.7423
angles (deg): 90.00 90.00 90.00
Closest atoms and distances in Å follow each position.
Fractional coordinates of all 8 atoms:
Pt 0.5000 0.5000 0.0000  8 Sm 3.09
Ag 0.5000 0.5000 0.2466  8 Sm 3.19-3.25
Ag 0.5000 0.5000 0.5000  8 Sm 3.21
Ag 0.5000 0.5000 0.7534  8 Sm 3.19-3.25
Sm 0.0000 0.0000 0.8859  4 Pt 3.09, 4 Ag 3.25, 1 Sm 3.37
Sm 0.0000 0.0000 0.1141  4 Pt 3.09, 4 Ag 3.25, 1 Sm 3.37
Sm 0.0000 0.0000 0.3718  8 Ag 3.19-3.21
Sm 0.0000 0.0000 0.6282  8 Ag 3.19-3.21

**Electronic total energy**: -37.42 eV for the cell shown
**Energy of formation**: -494 meV/atom

Density functional theory data (PBE-GGA) for a relaxed CaAl2Ni crystal.

a b c (Å): 4.1602 3.3559 5.9217
angles (deg): 73.52 90.00 90.00
Closest atoms and distances in Å follow each position.
Fractional coordinates of all 4 atoms:
Ni 0.5000 0.9058 0.8154  4 Al 2.34-2.50
Ca 0.0000 0.5425 0.5393  3 Al 3.04-3.12, 4 Ni 3.10, 2 Ca 3.36
Al 0.0000 0.8101 0.0033  2 Ni 2.34
Al 0.5000 0.2416 0.1420  2 Ni 2.50, 4 Al 2.78-2.79

**Electronic total energy**: -15.96 eV for the cell shown
**Energy of formation**: -173 meV/atom

Density functional theory data (PBE-GGA) for a relaxed TcI3F crystal.

a b c (Å): 5.4460 5.4460 5.4460
angles (deg): 90.00 90.00 90.00
Closest atoms and distances in Å follow each position.
Fractional coordinates of all 5 atoms:
I 0.0000 0.5000 0.0000  2 Tc 2.72
I 0.0000 0.0000 0.5000  2 Tc 2.72
I 0.5000 0.0000 0.0000  2 Tc 2.72
Tc 0.0000 0.0000 0.0000  6 I 2.72
F 0.5000 0.5000 0.5000  12 I 3.85

**Distance to the lowest polymorph of the same formula**: 0.00 kcal/mol of atoms
**Electronic total energy**: -15.88 eV for the cell shown
**Formation energy (no corrections)**: 1.006 eV/f.u.

Density functional theory data (PBE-GGA) for a relaxed Tm5Fe2Au2 crystal.

a b c (Å): 7.1030 7.1678 8.6371
angles (deg): 90.00 65.72 90.00
Closest atoms and distances in Å follow each position.
Fractional coordinates of all 18 atoms:
Tm 0.0000 0.0000 0.0000  4 Fe 2.90-2.91
Tm 0.5000 0.5000 0.0000  4 Fe 2.90-2.91
Tm 0.4511 0.1786 0.7409  3 Fe 2.92-2.97, 3 Au 2.95-3.03
Tm 0.8080 0.8214 0.7409  3 Fe 2.92-2.97, 3 Au 2.95-3.03
Tm 0.3080 0.6786 0.7409  3 Fe 2.92-2.97, 3 Au 2.95-3.03
Tm 0.9511 0.3214 0.7409  3 Fe 2.92-2.97, 3 Au 2.95-3.03
Tm 0.5489 0.8214 0.2591  3 Fe 2.92-2.97, 3 Au 2.95-3.03
Tm 0.1920 0.1786 0.2591  3 Fe 2.92-2.97, 3 Au 2.95-3.03
Tm 0.6920 0.3214 0.2591  3 Fe 2.92-2.97, 3 Au 2.95-3.03
Tm 0.0489 0.6786 0.2591  3 Fe 2.92-2.97, 3 Au 2.95-3.03
Fe 0.1070 0.3915 0.0000  1 Fe 2.18
Fe 0.8930 0.6085 0.0000  1 Fe 2.18
Fe 0.3930 0.8915 0.0000  1 Fe 2.18
Fe 0.6070 0.1085 0.0000  1 Fe 2.18
Au 0.2155 0.0000 0.5691  6 Tm 2.95-3.03
Au 0.7155 0.5000 0.5691  6 Tm 2.95-3.03
Au 0.7845 0.0000 0.4309  6 Tm 2.95-3.03
Au 0.2845 0.5000 0.4309  6 Tm 2.95-3.03

**Electronic total energy**: -99.06 eV for the cell shown
**Energy of formation**: -410 meV/atom

Density functional theory data (PBE-GGA) for a relaxed LaIrBr2 crystal.

a b c (Å): 5.8837 5.8837 5.8837
angles (deg): 137.64 137.64 61.46
Closest atoms and distances in Å follow each position.
Fractional coordinates of all 4 atoms:
Ir 0.5000 0.5000 0.0000  8 Br 3.01-3.30, 4 La 3.30
Br 0.0000 0.0000 0.0000  4 Ir 3.01, 4 Br 3.30, 4 La 3.30
Br 0.2500 0.7500 0.5000  4 La 3.01, 4 Br 3.30, 4 Ir 3.30
La 0.7500 0.2500 0.5000  8 Br 3.01-3.30, 4 Ir 3.30

**Distance to the lowest polymorph of the same formula**: 9.80 kcal/mol of atoms
**Electronic total energy**: -18.88 eV for the cell shown
**Formation energy (no corrections)**: -1.741 eV/f.u.

Density functional theory data (PBE-GGA) for a relaxed KAlTcOs2 crystal.

a b c (Å): 4.5006 4.6460 4.5006
angles (deg): 90.00 90.00 90.00
Closest atoms and distances in Å follow each position.
Fractional coordinates of all 5 atoms:
K 0.0000 0.0000 0.0000  4 Os 2.25, 2 Al 2.32
Os 0.0000 0.0000 0.5000  2 K 2.25
Os 0.5000 0.0000 0.0000  2 K 2.25
Tc 0.5000 0.5000 0.5000  4 Al 3.18, 8 Os 3.23
Al 0.0000 0.5000 0.0000  2 K 2.32

**Electronic total energy**: -20.89 eV for the cell shown
**Energy of formation**: 3354 meV/atom